# Y2ZrCl, optimized geometry, DFT PBE
# ΔE_f (raw) ... -208.2 meV/atom
# Fermi-level density of states ... 10.16 states/eV/cell
# ΔE to the lowest computed polymorph ... 409.4 meV/atom
# Calculated volume ... 27.05 A^3/atom
data_Y2ZrCl
_chemical_formula_sum 'Y4 Zr2 Cl2'
_cell_length_a 3.3523
_cell_length_b 6.2456
_cell_length_c 10.3343
_cell_angle_alpha 90.00
_cell_angle_beta 90.00
_cell_angle_gamma 90.00
_symmetry_space_group_name_H-M 'I m m m'
_symmetry_Int_Tables_number 71
_symmetry_space_group_name_Hall '-I 2 2'
loop_
_atom_site_label
_atom_site_type_symbol
_atom_site_fract_x
_atom_site_fract_y
_atom_site_fract_z
Y1 Y 0.0000 0.0000 0.2209
Zr1 Zr 0.0000 0.5000 0.0000
Cl1 Cl 0.0000 0.5000 0.5000